1.
First-principles (PBEsol) data for LaTa2Te after structural relaxation, as listed in the Alexandria database.

Unit cell a=3.157 b=3.157 c=9.433 alpha=90.00 beta=90.00 gamma=110.71
Positions (direct):
Ta1 0.000 0.000 0.724
Ta2 0.000 0.000 0.276
La1 0.500 0.500 0.000
Te1 0.500 0.500 0.500

## Properties
Its raw formation energy is 50 kJ per mole of atoms. Its space group is Cmmm (65).

2.
First-principles (PBEsol) data for La2TaTe after structural relaxation, as listed in the Alexandria database.

Unit cell a=5.202 b=5.202 c=5.202 alpha=60.00 beta=60.00 gamma=60.00
Positions (direct):
Te1 0.250 0.250 0.250
Ta1 0.500 0.500 0.500
La1 0.000 0.000 0.000
La2 0.750 0.750 0.750

## Properties
Its raw formation energy is 11 kJ per mole of atoms. Its space group is F-43m (216).

3.
First-principles (PBEsol) data for La2TaTe after structural relaxation, as listed in the Alexandria database.

Unit cell a=3.708 b=5.072 c=6.510 alpha=112.96 beta=106.55 gamma=90.00
Positions (direct):
La1 0.002 0.002 0.004
La2 0.772 0.273 0.545
Ta1 0.519 0.519 0.039
Te1 0.206 0.706 0.412

## Properties
Its raw formation energy is -19 kJ per mole of atoms. Its space group is Imm2 (44).

4.
First-principles (PBEsol) data for La2TaTe after structural relaxation, as listed in the Alexandria database.

Unit cell a=3.949 b=3.945 c=7.129 alpha=92.53 beta=90.00 gamma=90.00
Positions (direct):
Ta1 0.500 0.500 0.500
La1 0.000 0.978 0.746
La2 0.000 0.022 0.254
Te1 0.500 0.500 0.000

## Properties
Its raw formation energy is -15 kJ per mole of atoms. Its space group is P2/m (10).

5.
First-principles (PBEsol) data for LaTaTe after structural relaxation, as listed in the Alexandria database.

Unit cell a=3.521 b=3.521 c=7.152 alpha=90.00 beta=90.00 gamma=120.00
Positions (direct):
Te1 0.667 0.333 0.374
Ta1 0.333 0.667 0.639
La1 0.000 0.000 0.987

## Properties
Its raw formation energy is -5 kJ per mole of atoms. Its space group is P3m1 (156).

6.
First-principles (PBEsol) data for LaTaTe after structural relaxation, as listed in the Alexandria database.

Unit cell a=3.784 b=4.814 c=4.814 alpha=120.00 beta=90.00 gamma=90.00
Positions (direct):
Ta1 0.000 0.333 0.667
La1 0.500 0.000 0.000
Te1 0.000 0.667 0.333

## Properties
Its raw formation energy is -4 kJ per mole of atoms. Its space group is P-6m2 (187).

7.
First-principles (PBEsol) data for La3TaTi after structural relaxation, as listed in the Alexandria database.

Unit cell a=5.550 b=5.550 c=5.550 alpha=90.00 beta=90.00 gamma=90.00
Positions (direct):
Ta1 0.000 0.000 0.000
Ti1 0.500 0.500 0.500
La1 0.000 0.500 0.000
La2 0.500 0.000 0.000
La3 0.000 0.000 0.500

## Properties
The formation energy is 0.968 eV per atom. Its space group is Pm-3m (221).

8.
First-principles (PBEsol) data for La2TaTl after structural relaxation, as listed in the Alexandria database.

Unit cell a=5.328 b=5.328 c=5.328 alpha=60.00 beta=60.00 gamma=60.00
Positions (direct):
La1 0.750 0.750 0.750
La2 0.250 0.250 0.250
Ta1 0.000 0.000 0.000
Tl1 0.500 0.500 0.500

## Properties
The formation energy is 0.293 eV per atom. Its space group is Fm-3m (225).

9.
First-principles (PBEsol) data for LaTa4Tl after structural relaxation, as listed in the Alexandria database.

Unit cell a=5.648 b=5.648 c=5.648 alpha=60.00 beta=60.00 gamma=60.00
Positions (direct):
Ta1 0.373 0.373 0.373
Ta2 0.373 0.880 0.373
Ta3 0.373 0.373 0.880
Ta4 0.880 0.373 0.373
La1 0.000 0.000 0.000
Tl1 0.750 0.750 0.750

## Properties
The formation energy is 0.432 eV per atom. Its space group is F-43m (216).

10.
First-principles (PBEsol) data for La2TaTl after structural relaxation, as listed in the Alexandria database.

Unit cell a=3.369 b=4.049 c=7.350 alpha=90.00 beta=90.00 gamma=90.00
Positions (direct):
La1 0.500 0.500 0.269
La2 0.000 0.000 0.989
Tl1 0.500 0.500 0.719
Ta1 0.000 0.000 0.522

## Properties
The formation energy is 0.235 eV per atom. Its space group is Pmm2 (25).

11.
First-principles (PBEsol) data for La2TaTl after structural relaxation, as listed in the Alexandria database.

Unit cell a=3.245 b=3.245 c=10.004 alpha=90.00 beta=90.00 gamma=90.00
Positions (direct):
Ta1 0.500 0.500 0.000
La1 0.000 0.000 0.231
La2 0.000 0.000 0.769
Tl1 0.500 0.500 0.500

## Properties
The formation energy is 0.124 eV per atom. Its space group is P4/mmm (123).

12.
First-principles (PBEsol) data for LaTa2W after structural relaxation, as listed in the Alexandria database.

Unit cell a=3.204 b=5.157 c=5.643 alpha=117.19 beta=106.49 gamma=90.00
Positions (direct):
Ta1 0.234 0.234 0.467
Ta2 0.766 0.766 0.533
La1 0.000 0.500 0.000
W1 0.500 0.000 0.000

## Properties
The formation energy is 0.602 eV per atom. Its space group is Immm (71).